Arrangement one

# SbAs GGA-PBE optimized geometry
data_SbAs
_symmetry_space_group_name_H-M 'P 1'
_symmetry_Int_Tables_number 1
_symmetry_space_group_name_Hall 'P 1'
_cell_length_a 4.011
_cell_length_b 4.011
_cell_length_c 7.306
_cell_angle_alpha 90.00
_cell_angle_beta 90.00
_cell_angle_gamma 120.00
loop_
_atom_site_label
_atom_site_type_symbol
_atom_site_fract_x
_atom_site_fract_y
_atom_site_fract_z
_atom_site_occupancy
Sb1 Sb 0.000 0.000 0.000 1
Sb2 Sb 0.000 0.000 0.500 1
As1 As 0.333 0.667 0.250 1
As2 As 0.667 0.333 0.750 1
# Fermi-level density of states ... 0.556 states/eV/atom
# Total moment ... 0.00 Bohr magnetons per cell

Arrangement two

# SbAs GGA-PBE optimized geometry
data_SbAs
_symmetry_space_group_name_H-M 'P 1'
_symmetry_Int_Tables_number 1
_symmetry_space_group_name_Hall 'P 1'
_cell_length_a 5.959
_cell_length_b 6.140
_cell_length_c 11.925
_cell_angle_alpha 90.00
_cell_angle_beta 90.00
_cell_angle_gamma 90.00
loop_
_atom_site_label
_atom_site_type_symbol
_atom_site_fract_x
_atom_site_fract_y
_atom_site_fract_z
_atom_site_occupancy
Sb1 Sb 0.221 0.021 0.234 1
Sb2 Sb 0.246 0.509 0.013 1
Sb3 Sb 0.254 0.491 0.513 1
Sb4 Sb 0.279 0.979 0.734 1
Sb5 Sb 0.721 0.479 0.766 1
Sb6 Sb 0.746 0.991 0.987 1
Sb7 Sb 0.754 0.009 0.487 1
Sb8 Sb 0.779 0.521 0.266 1
As1 As 0.200 0.068 0.004 1
As2 As 0.242 0.577 0.240 1
As3 As 0.258 0.423 0.740 1
As4 As 0.300 0.932 0.504 1
As5 As 0.700 0.432 0.996 1
As6 As 0.742 0.923 0.760 1
As7 As 0.758 0.077 0.260 1
As8 As 0.800 0.568 0.496 1
# Fermi-level density of states ... 0.080 states/eV/atom
# Total moment ... 0.00 Bohr magnetons per cell

Arrangement three

# SbAs GGA-PBE optimized geometry
data_SbAs
_symmetry_space_group_name_H-M 'P 1'
_symmetry_Int_Tables_number 1
_symmetry_space_group_name_Hall 'P 1'
_cell_length_a 4.099
_cell_length_b 17.721
_cell_length_c 4.366
_cell_angle_alpha 90.00
_cell_angle_beta 90.00
_cell_angle_gamma 90.00
loop_
_atom_site_label
_atom_site_type_symbol
_atom_site_fract_x
_atom_site_fract_y
_atom_site_fract_z
_atom_site_occupancy
Sb1 Sb 0.250 0.087 0.222 1
Sb2 Sb 0.250 0.413 0.222 1
Sb3 Sb 0.250 0.750 0.269 1
Sb4 Sb 0.750 0.250 0.731 1
Sb5 Sb 0.750 0.587 0.778 1
Sb6 Sb 0.750 0.913 0.778 1
As1 As 0.250 0.250 0.307 1
As2 As 0.250 0.587 0.193 1
As3 As 0.250 0.913 0.193 1
As4 As 0.750 0.087 0.807 1
As5 As 0.750 0.413 0.807 1
As6 As 0.750 0.750 0.693 1
# Fermi-level density of states ... 0.118 states/eV/atom
# Total moment ... 0.00 Bohr magnetons per cell

Arrangement four

# SbAs GGA-PBE optimized geometry
data_SbAs
_symmetry_space_group_name_H-M 'P 1'
_symmetry_Int_Tables_number 1
_symmetry_space_group_name_Hall 'P 1'
_cell_length_a 3.947
_cell_length_b 14.953
_cell_length_c 6.131
_cell_angle_alpha 90.00
_cell_angle_beta 90.00
_cell_angle_gamma 90.00
loop_
_atom_site_label
_atom_site_type_symbol
_atom_site_fract_x
_atom_site_fract_y
_atom_site_fract_z
_atom_site_occupancy
Sb1 Sb 0.000 0.000 0.000 1
Sb2 Sb 0.000 0.303 0.758 1
Sb3 Sb 0.000 0.697 0.758 1
Sb4 Sb 0.500 0.197 0.258 1
Sb5 Sb 0.500 0.500 0.500 1
Sb6 Sb 0.500 0.803 0.258 1
As1 As 0.000 0.321 0.319 1
As2 As 0.000 0.500 0.802 1
As3 As 0.000 0.679 0.319 1
As4 As 0.500 0.000 0.302 1
As5 As 0.500 0.179 0.819 1
As6 As 0.500 0.821 0.819 1
# Fermi-level density of states ... 0.247 states/eV/atom
# Total moment ... 0.00 Bohr magnetons per cell

Least stable = arrangement one

Arrangement one

# SbAs GGA-PBE optimized geometry
data_SbAs
_symmetry_space_group_name_H-M 'P 1'
_symmetry_Int_Tables_number 1
_symmetry_space_group_name_Hall 'P 1'
_cell_length_a 11.742
_cell_length_b 11.742
_cell_length_c 3.928
_cell_angle_alpha 90.00
_cell_angle_beta 90.00
_cell_angle_gamma 90.00
loop_
_atom_site_label
_atom_site_type_symbol
_atom_site_fract_x
_atom_site_fract_y
_atom_site_fract_z
_atom_site_occupancy
Sb1 Sb 0.115 0.217 0.000 1
Sb2 Sb 0.217 0.885 0.000 1
Sb3 Sb 0.283 0.615 0.500 1
Sb4 Sb 0.385 0.283 0.500 1
Sb5 Sb 0.615 0.717 0.500 1
Sb6 Sb 0.717 0.385 0.500 1
Sb7 Sb 0.783 0.115 0.000 1
Sb8 Sb 0.885 0.783 0.000 1
As1 As 0.133 0.664 0.000 1
As2 As 0.164 0.367 0.500 1
As3 As 0.336 0.133 0.000 1
As4 As 0.367 0.836 0.500 1
As5 As 0.633 0.164 0.500 1
As6 As 0.664 0.867 0.000 1
As7 As 0.836 0.633 0.500 1
As8 As 0.867 0.336 0.000 1
# Total moment ... 0.00 Bohr magnetons per cell

Arrangement two

# SbAs GGA-PBE optimized geometry
data_SbAs
_symmetry_space_group_name_H-M 'P 1'
_symmetry_Int_Tables_number 1
_symmetry_space_group_name_Hall 'P 1'
_cell_length_a 10.085
_cell_length_b 10.085
_cell_length_c 10.085
_cell_angle_alpha 90.00
_cell_angle_beta 90.00
_cell_angle_gamma 90.00
loop_
_atom_site_label
_atom_site_type_symbol
_atom_site_fract_x
_atom_site_fract_y
_atom_site_fract_z
_atom_site_occupancy
Sb1 Sb 0.131 0.131 0.869 1
Sb2 Sb 0.131 0.869 0.131 1
Sb3 Sb 0.369 0.369 0.369 1
Sb4 Sb 0.369 0.631 0.631 1
Sb5 Sb 0.631 0.369 0.631 1
Sb6 Sb 0.631 0.631 0.369 1
Sb7 Sb 0.869 0.131 0.131 1
Sb8 Sb 0.869 0.869 0.869 1
As1 As 0.140 0.140 0.140 1
As2 As 0.140 0.860 0.860 1
As3 As 0.360 0.360 0.640 1
As4 As 0.360 0.640 0.360 1
As5 As 0.640 0.360 0.360 1
As6 As 0.640 0.640 0.640 1
As7 As 0.860 0.140 0.860 1
As8 As 0.860 0.860 0.140 1
# Total moment ... 0.00 Bohr magnetons per cell

Least stable = arrangement two

Arrangement one

# SbAs GGA-PBE optimized geometry
data_SbAs
_symmetry_space_group_name_H-M 'P 1'
_symmetry_Int_Tables_number 1
_symmetry_space_group_name_Hall 'P 1'
_cell_length_a 4.376
_cell_length_b 4.112
_cell_length_c 6.190
_cell_angle_alpha 90.00
_cell_angle_beta 98.04
_cell_angle_gamma 90.00
loop_
_atom_site_label
_atom_site_type_symbol
_atom_site_fract_x
_atom_site_fract_y
_atom_site_fract_z
_atom_site_occupancy
Sb1 Sb 0.025 0.000 0.244 1
Sb2 Sb 0.975 0.000 0.756 1
As1 As 0.450 0.500 0.295 1
As2 As 0.550 0.500 0.705 1
# Fermi-level density of states ... 0.113 states/eV/atom
# Total moment ... 0.00 Bohr magnetons per cell

Arrangement two

# SbAs GGA-PBE optimized geometry
data_SbAs
_symmetry_space_group_name_H-M 'P 1'
_symmetry_Int_Tables_number 1
_symmetry_space_group_name_Hall 'P 1'
_cell_length_a 7.977
_cell_length_b 7.977
_cell_length_c 7.977
_cell_angle_alpha 90.00
_cell_angle_beta 90.00
_cell_angle_gamma 90.00
loop_
_atom_site_label
_atom_site_type_symbol
_atom_site_fract_x
_atom_site_fract_y
_atom_site_fract_z
_atom_site_occupancy
Sb1 Sb 0.000 0.250 0.500 1
Sb2 Sb 0.000 0.750 0.500 1
Sb3 Sb 0.250 0.500 0.000 1
Sb4 Sb 0.500 0.000 0.250 1
Sb5 Sb 0.500 0.000 0.750 1
Sb6 Sb 0.750 0.500 0.000 1
As1 As 0.000 0.500 0.250 1
As2 As 0.000 0.500 0.750 1
As3 As 0.250 0.000 0.500 1
As4 As 0.500 0.250 0.000 1
As5 As 0.500 0.750 0.000 1
As6 As 0.750 0.000 0.500 1
# Fermi-level density of states ... 1.139 states/eV/atom
# Total moment ... 0.00 Bohr magnetons per cell

Least stable = arrangement two